Record 1
Here is a relaxed SrNbO3 crystal from the Alexandria database. Energies are from GGA-PBEsol.

Geometry as CIF:
```
data_SrNbO3
_cell_length_a 5.681
_cell_length_b 5.681
_cell_length_c 4.070
_cell_angle_alpha 90.00
_cell_angle_beta 90.00
_cell_angle_gamma 90.00
_symmetry_space_group_name_H-M 'P 4/m b m'
_symmetry_Int_Tables_number 127
_symmetry_space_group_name_Hall '-P 4 2ab'
loop_
_atom_site_label
_atom_site_fract_x
_atom_site_fract_y
_atom_site_fract_z
Sr1 0.000 0.500 0.000
Nb1 0.000 0.000 0.500
O1 0.000 0.000 0.000
O2 0.211 0.289 0.500
```

Values from the calculation:
The calculation puts the total energy at -8.493 eV/atom.


Record 2
Here is a relaxed Sr4Nb2O9 crystal from the Alexandria database. Energies are from GGA-PBEsol.

Geometry as CIF:
```
data_Sr4Nb2O9
_cell_length_a 5.790
_cell_length_b 5.816
_cell_length_c 14.742
_cell_angle_alpha 90.50
_cell_angle_beta 90.28
_cell_angle_gamma 119.25
_symmetry_space_group_name_H-M 'P 1'
_symmetry_Int_Tables_number 1
loop_
_symmetry_equiv_pos_as_xyz
'x,y,z'
loop_
_atom_site_label
_atom_site_fract_x
_atom_site_fract_y
_atom_site_fract_z
Sr1 0.000 0.000 0.000
Sr2 0.001 0.051 0.487
Sr3 0.339 0.687 0.157
Sr4 0.360 0.715 0.660
Sr5 0.367 0.679 0.899
Sr6 0.676 0.371 0.571
Sr7 0.693 0.376 0.314
Sr8 0.727 0.331 0.811
Nb1 0.022 0.024 0.238
Nb2 0.025 0.015 0.733
Nb3 0.367 0.706 0.401
Nb4 0.673 0.347 0.071
O1 0.122 0.549 0.495
O2 0.138 0.788 0.313
O3 0.162 0.305 0.331
O4 0.183 0.385 0.776
O5 0.242 0.069 0.620
O6 0.290 0.946 0.795
O7 0.385 0.174 0.182
O8 0.416 0.425 0.023
O9 0.525 0.992 0.027
O10 0.557 0.057 0.442
O11 0.619 0.610 0.446
O12 0.660 0.833 0.286
O13 0.771 0.643 0.699
O14 0.794 0.103 0.652
O15 0.810 0.940 0.851
O16 0.879 0.699 0.145
O17 0.925 0.228 0.154
O18 0.925 0.504 0.976
```

Values from the calculation:
Its polymorph energy (0 for the lowest one) is 32 meV per atom.


Record 3
Here is a relaxed Sr3NbO crystal from the Alexandria database. Energies are from GGA-PBEsol.

Geometry as CIF:
```
data_Sr3NbO
_cell_length_a 5.533
_cell_length_b 5.533
_cell_length_c 5.533
_cell_angle_alpha 90.00
_cell_angle_beta 90.00
_cell_angle_gamma 90.00
_symmetry_space_group_name_H-M 'P m -3 m'
_symmetry_Int_Tables_number 221
_symmetry_space_group_name_Hall '-P 4 2 3'
loop_
_atom_site_label
_atom_site_fract_x
_atom_site_fract_y
_atom_site_fract_z
Sr1 0.000 0.000 0.500
Nb1 0.000 0.000 0.000
O1 0.500 0.500 0.500
```

Values from the calculation:
The calculation puts the total energy at -3.262 eV/atom.


Record 4
Here is a relaxed Sr5Nb4O15 crystal from the Alexandria database. Energies are from GGA-PBEsol.

Geometry as CIF:
```
data_Sr5Nb4O15
_cell_length_a 9.826
_cell_length_b 5.672
_cell_length_c 11.501
_cell_angle_alpha 90.00
_cell_angle_beta 90.05
_cell_angle_gamma 90.00
_symmetry_space_group_name_H-M 'C 1 2/m 1'
_symmetry_Int_Tables_number 12
loop_
_symmetry_equiv_pos_as_xyz
'x,y,z'
'-x,-y,-z'
'-x,y,-z'
'x,-y,z'
'x+1/2,y+1/2,z'
'-x+1/2,-y+1/2,-z'
'-x+1/2,y+1/2,-z'
'x+1/2,-y+1/2,z'
loop_
_atom_site_label
_atom_site_fract_x
_atom_site_fract_y
_atom_site_fract_z
Sr1 0.000 0.000 0.000
Sr2 0.167 0.500 0.221
Sr3 0.167 0.500 0.563
Nb1 0.000 0.000 0.322
Nb2 0.167 0.500 0.894
O1 0.000 0.500 0.000
O2 0.082 0.246 0.805
O3 0.086 0.256 0.393
O4 0.165 0.000 0.195
O5 0.171 0.000 0.607
O6 0.250 0.250 0.000
```

Values from the calculation:
Its polymorph energy (0 for the lowest one) is 21 meV per atom.


Record 5
Here is a relaxed SrNb2O4 crystal from the Alexandria database. Energies are from GGA-PBEsol.

Geometry as CIF:
```
data_SrNb2O4
_cell_length_a 5.098
_cell_length_b 12.475
_cell_length_c 5.887
_cell_angle_alpha 90.00
_cell_angle_beta 90.00
_cell_angle_gamma 90.00
_symmetry_space_group_name_H-M 'P b c m'
_symmetry_Int_Tables_number 57
loop_
_symmetry_equiv_pos_as_xyz
'x,y,z'
'-x,-y,-z'
'-x,-y,z+1/2'
'x,y,-z+1/2'
'x,-y+1/2,-z'
'-x,y+1/2,z'
'-x,y+1/2,-z+1/2'
'x,-y+1/2,z+1/2'
loop_
_atom_site_label
_atom_site_fract_x
_atom_site_fract_y
_atom_site_fract_z
Sr1 0.197 0.004 0.250
Nb1 0.157 0.747 0.250
Nb2 0.345 0.250 0.000
O1 0.009 0.144 0.505
O2 0.488 0.645 0.250
O3 0.489 0.648 0.750
```

Values from the calculation:
The calculation puts the total energy at -9.010 eV/atom.


Record 6
Here is a relaxed Sr5Nb4O15 crystal from the Alexandria database. Energies are from GGA-PBEsol.

Geometry as CIF:
```
data_Sr5Nb4O15
_cell_length_a 5.6769
_cell_length_b 5.6769
_cell_length_c 22.9510
_cell_angle_alpha 90.00
_cell_angle_beta 90.00
_cell_angle_gamma 120.00
_symmetry_space_group_name_H-M 'P -3 c 1'
_symmetry_Int_Tables_number 165
_symmetry_space_group_name_Hall '-P 3 2"c'
loop_
_atom_site_label
_atom_site_fract_x
_atom_site_fract_y
_atom_site_fract_z
Sr1 0.0000 0.0000 0.2500
Sr2 0.3333 0.6667 0.1404
Sr3 0.3333 0.6667 0.4709
Nb1 0.0000 0.0000 0.0904
Nb2 0.3333 0.6667 0.3029
O1 0.0000 0.4519 0.2500
O2 0.0979 0.3351 0.0551
O3 0.1134 0.3294 0.8463
```

Values from the calculation:
Its polymorph energy (0 for the lowest one) is 0 meV per atom.


Record 7
Here is a relaxed Sr6Nb2O11 crystal from the Alexandria database. Energies are from GGA-PBEsol.

Geometry as CIF:
```
data_Sr6Nb2O11
_cell_length_a 5.941
_cell_length_b 5.948
_cell_length_c 19.218
_cell_angle_alpha 81.73
_cell_angle_beta 82.44
_cell_angle_gamma 60.14
_symmetry_space_group_name_H-M 'P 1'
_symmetry_Int_Tables_number 1
loop_
_symmetry_equiv_pos_as_xyz
'x,y,z'
loop_
_atom_site_label
_atom_site_fract_x
_atom_site_fract_y
_atom_site_fract_z
Sr1 0.000 0.000 0.000
Sr2 0.027 0.082 0.816
Sr3 0.179 0.263 0.401
Sr4 0.227 0.361 0.218
Sr5 0.309 0.317 0.030
Sr6 0.389 0.443 0.689
Sr7 0.475 0.589 0.501
Sr8 0.526 0.636 0.318
Sr9 0.664 0.719 0.900
Sr10 0.693 0.795 0.717
Sr11 0.829 0.891 0.529
Sr12 0.877 0.045 0.188
Nb1 0.028 0.247 0.609
Nb2 0.343 0.400 0.859
Nb3 0.675 0.681 0.109
Nb4 0.850 0.958 0.359
O1 0.011 0.681 0.109
O2 0.051 0.517 0.795
O3 0.089 0.069 0.295
O4 0.093 0.672 0.924
O5 0.151 0.700 0.417
O6 0.161 0.063 0.528
O7 0.182 0.482 0.582
O8 0.217 0.108 0.691
O9 0.235 0.150 0.912
O10 0.442 0.650 0.801
O11 0.485 0.807 0.027
O12 0.521 0.044 0.136
O13 0.540 0.556 0.190
O14 0.542 0.206 0.304
O15 0.595 0.118 0.798
O16 0.621 0.847 0.423
O17 0.630 0.293 0.925
O18 0.693 0.583 0.609
O19 0.754 0.245 0.421
O20 0.793 0.093 0.636
O21 0.907 0.318 0.082
O22 0.926 0.690 0.293
```

Values from the calculation:
The calculation puts the total energy at -7.629 eV/atom.


Record 8
Here is a relaxed SrNb6O16 crystal from the Alexandria database. Energies are from GGA-PBEsol.

Geometry as CIF:
```
data_SrNb6O16
_cell_length_a 3.891
_cell_length_b 10.419
_cell_length_c 14.873
_cell_angle_alpha 90.00
_cell_angle_beta 90.00
_cell_angle_gamma 90.00
_symmetry_space_group_name_H-M 'A m m 2'
_symmetry_Int_Tables_number 38
loop_
_symmetry_equiv_pos_as_xyz
'x,y,z'
'-x,-y,z'
'-x,y,z'
'x,-y,z'
'x,y+1/2,z+1/2'
'-x,-y+1/2,z+1/2'
'-x,y+1/2,z+1/2'
'x,-y+1/2,z+1/2'
loop_
_atom_site_label
_atom_site_fract_x
_atom_site_fract_y
_atom_site_fract_z
Sr1 0.000 0.000 0.000
Nb1 0.500 0.000 0.596
Nb2 0.500 0.000 0.810
Nb3 0.500 0.182 0.161
Nb4 0.500 0.186 0.415
O1 0.000 0.000 0.606
O2 0.000 0.000 0.827
O3 0.000 0.170 0.137
O4 0.000 0.185 0.413
O5 0.500 0.000 0.112
O6 0.500 0.000 0.459
O7 0.500 0.125 0.713
O8 0.500 0.127 0.918
O9 0.500 0.149 0.285
O10 0.500 0.191 0.556
```

Values from the calculation:
The calculation puts the total energy at -9.161 eV/atom.


Record 9
Here is a relaxed SrNbO3 crystal from the Alexandria database. Energies are from GGA-PBEsol.

Geometry as CIF:
```
data_SrNbO3
_cell_length_a 4.047
_cell_length_b 4.047
_cell_length_c 4.047
_cell_angle_alpha 90.00
_cell_angle_beta 90.00
_cell_angle_gamma 90.00
_symmetry_space_group_name_H-M 'P m -3 m'
_symmetry_Int_Tables_number 221
_symmetry_space_group_name_Hall '-P 4 2 3'
loop_
_atom_site_label
_atom_site_fract_x
_atom_site_fract_y
_atom_site_fract_z
Sr1 0.000 0.000 0.000
Nb1 0.500 0.500 0.500
O1 0.000 0.500 0.500
```

Values from the calculation:
The calculation puts the total energy at -8.486 eV/atom.


Record 10
Here is a relaxed SrNbO3 crystal from the Alexandria database. Energies are from GGA-PBEsol.

Geometry as CIF:
```
data_SrNbO3
_cell_length_a 5.707
_cell_length_b 8.066
_cell_length_c 5.702
_cell_angle_alpha 90.00
_cell_angle_beta 90.00
_cell_angle_gamma 90.00
_symmetry_space_group_name_H-M 'P n m a'
_symmetry_Int_Tables_number 62
loop_
_symmetry_equiv_pos_as_xyz
'x,y,z'
'-x,-y,-z'
'-x+1/2,-y,z+1/2'
'x+1/2,y,-z+1/2'
'x+1/2,-y+1/2,-z+1/2'
'-x+1/2,y+1/2,z+1/2'
'-x,y+1/2,-z'
'x,-y+1/2,z'
loop_
_atom_site_label
_atom_site_fract_x
_atom_site_fract_y
_atom_site_fract_z
Sr1 0.020 0.250 0.002
Nb1 0.000 0.000 0.500
O1 0.006 0.750 0.457
O2 0.220 0.522 0.780
```

Values from the calculation:
The calculation puts the total energy at -8.495 eV/atom.


Record 11
Here is a relaxed Sr3Nb4O13 crystal from the Alexandria database. Energies are from GGA-PBEsol.

Geometry as CIF:
```
data_Sr3Nb4O13
_cell_length_a 3.946
_cell_length_b 3.946
_cell_length_c 34.237
_cell_angle_alpha 90.00
_cell_angle_beta 90.00
_cell_angle_gamma 90.00
_symmetry_space_group_name_H-M 'I 4/m m m'
_symmetry_Int_Tables_number 139
_symmetry_space_group_name_Hall '-I 4 2'
loop_
_atom_site_label
_atom_site_fract_x
_atom_site_fract_y
_atom_site_fract_z
Sr1 0.000 0.000 0.000
Sr2 0.000 0.000 0.138
Nb1 0.000 0.000 0.301
Nb2 0.000 0.000 0.438
O1 0.000 0.000 0.251
O2 0.000 0.000 0.383
O3 0.000 0.000 0.500
O4 0.000 0.500 0.056
O5 0.000 0.500 0.181
```

Values from the calculation:
The calculation puts the total energy at -8.583 eV/atom.


Record 12
Here is a relaxed SrNb2O6 crystal from the Alexandria database. Energies are from GGA-PBEsol.

Geometry as CIF:
```
data_SrNb2O6
_cell_length_a 7.703
_cell_length_b 5.590
_cell_length_c 11.121
_cell_angle_alpha 90.00
_cell_angle_beta 90.25
_cell_angle_gamma 90.00
_symmetry_space_group_name_H-M 'P 1 21/c 1'
_symmetry_Int_Tables_number 14
loop_
_symmetry_equiv_pos_as_xyz
'x,y,z'
'-x,-y,-z'
'-x,y+1/2,-z+1/2'
'x,-y+1/2,z+1/2'
loop_
_atom_site_label
_atom_site_fract_x
_atom_site_fract_y
_atom_site_fract_z
Sr1 0.250 0.038 0.040
Nb1 0.008 0.528 0.144
Nb2 0.480 0.034 0.358
O1 0.035 0.722 0.975
O2 0.052 0.635 0.711
O3 0.248 0.147 0.372
O4 0.252 0.035 0.646
O5 0.446 0.640 0.712
O6 0.465 0.723 0.975
```

Values from the calculation:
The calculation puts the total energy at -8.889 eV/atom.


Record 13
Here is a relaxed SrNb8O14 crystal from the Alexandria database. Energies are from GGA-PBEsol.

Geometry as CIF:
```
data_SrNb8O14
_cell_length_a 9.245
_cell_length_b 10.304
_cell_length_c 5.966
_cell_angle_alpha 90.00
_cell_angle_beta 90.00
_cell_angle_gamma 90.00
_symmetry_space_group_name_H-M 'P b a m'
_symmetry_Int_Tables_number 55
loop_
_symmetry_equiv_pos_as_xyz
'x,y,z'
'-x,-y,-z'
'-x,-y,z'
'x,y,-z'
'x+1/2,-y+1/2,-z'
'-x+1/2,y+1/2,z'
'-x+1/2,y+1/2,-z'
'x+1/2,-y+1/2,z'
loop_
_atom_site_label
_atom_site_fract_x
_atom_site_fract_y
_atom_site_fract_z
Sr1 0.000 0.000 0.000
Nb1 0.115 0.164 0.500
Nb2 0.120 0.665 0.000
Nb3 0.126 0.423 0.233
O1 0.000 0.000 0.500
O2 0.000 0.500 0.500
O3 0.004 0.247 0.246
O4 0.235 0.848 0.000
O5 0.238 0.086 0.244
O6 0.238 0.321 0.500
```

Values from the calculation:
The calculation puts the total energy at -9.503 eV/atom.